# PBE Na6Hg2Pb, relaxed
data_Na6Hg2Pb
_cell_length_a 9.3746
_cell_length_b 9.3746
_cell_length_c 3.3853
_cell_angle_alpha 90.00
_cell_angle_beta 90.00
_cell_angle_gamma 120.00
_symmetry_space_group_name_H-M 'P -6 2 m'
_symmetry_Int_Tables_number 189
_symmetry_space_group_name_Hall 'P -6 -2'
loop_
_atom_site_label
_atom_site_type_symbol
_atom_site_fract_x
_atom_site_fract_y
_atom_site_fract_z
_atom_site_occupancy
Na1 Na 0.0000 0.3645 0.0000 1
Na2 Na 0.0000 0.6953 0.5000 1
Hg1 Hg 0.3333 0.6667 0.5000 1
Pb1 Pb 0.0000 0.0000 0.0000 1
# * total moment: 0.00 μB per formula unit



# PBE Na6Hg5Pb, relaxed
data_Na6Hg5Pb
_cell_length_a 9.167
_cell_length_b 15.911
_cell_length_c 5.326
_cell_angle_alpha 90.00
_cell_angle_beta 125.39
_cell_angle_gamma 90.00
_symmetry_space_group_name_H-M 'C 1 2/m 1'
_symmetry_Int_Tables_number 12
_symmetry_space_group_name_Hall '-C 2y'
loop_
_atom_site_label
_atom_site_type_symbol
_atom_site_fract_x
_atom_site_fract_y
_atom_site_fract_z
_atom_site_occupancy
Na1 Na 0.247 0.000 0.247 1
Na2 Na 0.249 0.168 0.749 1
Hg1 Hg 0.000 0.000 0.500 1
Hg2 Hg 0.000 0.167 0.000 1
Hg3 Hg 0.000 0.334 0.500 1
Pb1 Pb 0.000 0.500 0.000 1
# * total moment: 0.00 μB per formula unit



# PBE NaHgPb, relaxed
data_NaHgPb
_cell_length_a 3.597
_cell_length_b 3.597
_cell_length_c 12.697
_cell_angle_alpha 90.00
_cell_angle_beta 90.00
_cell_angle_gamma 90.00
_symmetry_space_group_name_H-M 'I 4 m m'
_symmetry_Int_Tables_number 107
_symmetry_space_group_name_Hall 'I 4 -2'
loop_
_atom_site_label
_atom_site_type_symbol
_atom_site_fract_x
_atom_site_fract_y
_atom_site_fract_z
_atom_site_occupancy
Na1 Na 0.000 0.000 0.000 1
Hg1 Hg 0.000 0.000 0.354 1
Pb1 Pb 0.000 0.000 0.684 1
# * energy above the lowest structure with this stoichiometry: 0.005 eV/atom
# * total moment: 0.00 μB per formula unit



# PBE NaHg3Pb, relaxed
data_NaHg3Pb
_cell_length_a 5.930
_cell_length_b 5.930
_cell_length_c 5.930
_cell_angle_alpha 90.00
_cell_angle_beta 90.00
_cell_angle_gamma 90.00
_symmetry_space_group_name_H-M 'P m -3 m'
_symmetry_Int_Tables_number 221
_symmetry_space_group_name_Hall '-P 4 2 3'
loop_
_atom_site_label
_atom_site_type_symbol
_atom_site_fract_x
_atom_site_fract_y
_atom_site_fract_z
_atom_site_occupancy
Na1 Na 0.000 0.000 0.000 1
Hg1 Hg 0.000 0.500 0.500 1
Pb1 Pb 0.500 0.500 0.500 1
# * energy above the lowest structure with this stoichiometry: 0.251 eV/atom
# * total moment: 0.00 μB per formula unit



# PBE Na3Hg4Pb, relaxed
data_Na3Hg4Pb
_cell_length_a 10.749
_cell_length_b 7.163
_cell_length_c 5.433
_cell_angle_alpha 90.00
_cell_angle_beta 90.00
_cell_angle_gamma 90.00
_symmetry_space_group_name_H-M 'P m m a'
_symmetry_Int_Tables_number 51
_symmetry_space_group_name_Hall '-P 2a 2a'
loop_
_atom_site_label
_atom_site_type_symbol
_atom_site_fract_x
_atom_site_fract_y
_atom_site_fract_z
_atom_site_occupancy
Na1 Na 0.000 0.000 0.000 1
Na2 Na 0.250 0.000 0.416 1
Na3 Na 0.250 0.500 0.412 1
Hg1 Hg 0.000 0.243 0.500 1
Hg2 Hg 0.250 0.241 0.904 1
Pb1 Pb 0.000 0.500 0.000 1
# * energy above the lowest structure with this stoichiometry: 0.000 eV/atom
# * total moment: 0.00 μB per formula unit



# PBE NaHg2Pb, relaxed
data_NaHg2Pb
_cell_length_a 8.410
_cell_length_b 8.410
_cell_length_c 6.582
_cell_angle_alpha 90.00
_cell_angle_beta 90.00
_cell_angle_gamma 90.00
_symmetry_space_group_name_H-M 'I -4 2 d'
_symmetry_Int_Tables_number 122
_symmetry_space_group_name_Hall 'I -4 2bw'
loop_
_atom_site_label
_atom_site_type_symbol
_atom_site_fract_x
_atom_site_fract_y
_atom_site_fract_z
_atom_site_occupancy
Na1 Na 0.000 0.000 0.000 1
Hg1 Hg 0.248 0.250 0.125 1
Pb1 Pb 0.000 0.000 0.500 1
# * total moment: 0.00 μB per formula unit



# PBE Na2Hg5Pb, relaxed
data_Na2Hg5Pb
_cell_length_a 11.181
_cell_length_b 6.862
_cell_length_c 6.862
_cell_angle_alpha 90.00
_cell_angle_beta 127.35
_cell_angle_gamma 90.00
_symmetry_space_group_name_H-M 'C 1 m 1'
_symmetry_Int_Tables_number 8
_symmetry_space_group_name_Hall 'C -2y'
loop_
_atom_site_label
_atom_site_type_symbol
_atom_site_fract_x
_atom_site_fract_y
_atom_site_fract_z
_atom_site_occupancy
Na1 Na 0.000 0.000 0.000 1
Na2 Na 0.000 0.500 0.499 1
Hg1 Hg 0.000 0.000 0.499 1
Hg2 Hg 0.250 0.250 0.999 1
Hg3 Hg 0.250 0.251 0.499 1
Pb1 Pb 0.499 0.000 0.999 1
# * total moment: 0.00 μB per formula unit



# PBE Na2Hg3Pb8, relaxed
data_Na2Hg3Pb8
_cell_length_a 10.954
_cell_length_b 10.799
_cell_length_c 8.758
_cell_angle_alpha 90.00
_cell_angle_beta 118.98
_cell_angle_gamma 90.00
_symmetry_space_group_name_H-M 'C 1 2/m 1'
_symmetry_Int_Tables_number 12
_symmetry_space_group_name_Hall '-C 2y'
loop_
_atom_site_label
_atom_site_type_symbol
_atom_site_fract_x
_atom_site_fract_y
_atom_site_fract_z
_atom_site_occupancy
Na1 Na 0.236 0.000 0.139 1
Hg1 Hg 0.000 0.258 0.500 1
Hg2 Hg 0.000 0.500 0.000 1
Pb1 Pb 0.061 0.000 0.364 1
Pb2 Pb 0.082 0.243 0.888 1
Pb3 Pb 0.103 0.500 0.393 1
# * total moment: 0.00 μB per formula unit



# PBE Na8HgPb2, relaxed
data_Na8HgPb2
_cell_length_a 9.094
_cell_length_b 14.631
_cell_length_c 5.979
_cell_angle_alpha 90.00
_cell_angle_beta 116.15
_cell_angle_gamma 90.00
_symmetry_space_group_name_H-M 'C 1 2/m 1'
_symmetry_Int_Tables_number 12
_symmetry_space_group_name_Hall '-C 2y'
loop_
_atom_site_label
_atom_site_type_symbol
_atom_site_fract_x
_atom_site_fract_y
_atom_site_fract_z
_atom_site_occupancy
Na1 Na 0.000 0.220 0.000 1
Na2 Na 0.119 0.500 0.802 1
Na3 Na 0.209 0.122 0.626 1
Hg1 Hg 0.000 0.000 0.000 1
Pb1 Pb 0.000 0.309 0.500 1
# * energy above the lowest structure with this stoichiometry: 0.051 eV/atom
# * total moment: 0.00 μB per formula unit



# PBE NaHgPb3, relaxed
data_NaHgPb3
_cell_length_a 5.577
_cell_length_b 5.577
_cell_length_c 5.577
_cell_angle_alpha 90.00
_cell_angle_beta 90.00
_cell_angle_gamma 90.00
_symmetry_space_group_name_H-M 'P m -3 m'
_symmetry_Int_Tables_number 221
_symmetry_space_group_name_Hall '-P 4 2 3'
loop_
_atom_site_label
_atom_site_type_symbol
_atom_site_fract_x
_atom_site_fract_y
_atom_site_fract_z
_atom_site_occupancy
Na1 Na 0.000 0.000 0.000 1
Hg1 Hg 0.500 0.500 0.500 1
Pb1 Pb 0.000 0.000 0.500 1
# * energy above the lowest structure with this stoichiometry: 0.525 eV/atom
# * total moment: 0.00 μB per formula unit



# PBE NaHgPb3, relaxed
data_NaHgPb3
_cell_length_a 5.717
_cell_length_b 6.884
_cell_length_c 8.228
_cell_angle_alpha 90.00
_cell_angle_beta 109.54
_cell_angle_gamma 90.00
_symmetry_space_group_name_H-M 'P 1 21/m 1'
_symmetry_Int_Tables_number 11
_symmetry_space_group_name_Hall '-P 2yb'
loop_
_atom_site_label
_atom_site_type_symbol
_atom_site_fract_x
_atom_site_fract_y
_atom_site_fract_z
_atom_site_occupancy
Na1 Na 0.100 0.250 0.197 1
Hg1 Hg 0.496 0.750 0.998 1
Pb1 Pb 0.125 0.750 0.259 1
Pb2 Pb 0.315 0.001 0.629 1
# * energy above the lowest structure with this stoichiometry: 0.000 eV/atom
# * total moment: 0.00 μB per formula unit



# PBE Na12Hg7Pb, relaxed
data_Na12Hg7Pb
_cell_length_a 14.5920
_cell_length_b 14.5920
_cell_length_c 9.3557
_cell_angle_alpha 90.00
_cell_angle_beta 90.00
_cell_angle_gamma 120.00
_symmetry_space_group_name_H-M 'R -3'
_symmetry_Int_Tables_number 148
_symmetry_space_group_name_Hall '-R 3'
loop_
_atom_site_label
_atom_site_type_symbol
_atom_site_fract_x
_atom_site_fract_y
_atom_site_fract_z
_atom_site_occupancy
Na1 Na 0.0366 0.7962 0.4174 1
Na2 Na 0.0578 0.2555 0.9511 1
Hg1 Hg 0.0000 0.0000 0.5000 1
Hg2 Hg 0.0089 0.8516 0.7420 1
Pb1 Pb 0.0000 0.0000 0.0000 1
# * total moment: 0.00 μB per formula unit



Number 1: energy of formation -0.15 eV/atom. Number 2: energy of formation -0.21 eV/atom. Number 3: energy of formation -0.15 eV/atom. Number 4: energy of formation 0.14 eV/atom. Number 5: energy of formation -0.20 eV/atom. Number 6: energy of formation -0.03 eV/atom. Number 7: energy of formation -0.16 eV/atom. Number 8: energy of formation 0.06 eV/atom. Number 9: energy of formation -0.08 eV/atom. Number 10: energy of formation 0.47 eV/atom. Number 11: energy of formation -0.06 eV/atom. Number 12: energy of formation -0.17 eV/atom.